Compound: Rb2V3CoF12
Source: Alexandria via LeMat-Bulk
Functional: PBE with a Hubbard U
Structure: optimized geometry

Summary:
Calculated volume: 890 Å³ per cell
Uncorrected energy: -301.3 eV for the cell shown

a = 7.5018 Å, b = 7.5018 Å, c = 18.2552 Å
α = 90.00°, β = 90.00°, γ = 120.00°
Last column: nearest neighbours and their distance in Å.
Space group R-3m (No. 166, hexagonal axes)
Asymmetric unit:
Rb  0.0000  0.0000  0.1319 (multiplicity 6)  6 F 3.09-3.32
V  0.0000  0.5000  0.0000 (multiplicity 9)  6 F 1.98-2.01
Co  0.0000  0.0000  0.5000 (multiplicity 3)  6 F 2.08
F  0.0611  0.5306  0.1065 (multiplicity 18)  1 V 1.98, 1 Co 2.08
F  0.0736  0.5368  0.3552 (multiplicity 18)  2 V 2.01